1.
First-principles (PBE) data for a relaxed structure of Pm2CrTcN5, as listed in Alexandria.

a = 3.336 Å, b = 7.118 Å, c = 9.763 Å
α = 90.00°, β = 90.00°, γ = 103.55°
Sites, in units of the cell vectors:
Pm1 0.868 0.735 0.817
Pm2 0.125 0.250 0.683
Pm3 0.132 0.265 0.317
Pm4 0.875 0.750 0.183
Cr1 0.560 0.121 0.950
Cr2 0.440 0.879 0.450
Tc1 0.799 0.597 0.521
Tc2 0.201 0.403 0.021
N1 0.342 0.684 0.007
N2 0.685 0.369 0.872
N3 0.504 0.007 0.795
N4 0.302 0.604 0.646
N5 0.962 0.923 0.532
N6 0.658 0.316 0.507
N7 0.315 0.631 0.372
N8 0.496 0.993 0.295
N9 0.698 0.396 0.146
N10 0.038 0.077 0.032

ρ   7.516 g cm⁻³
M_tot   0.52 Bohr magnetons per cell


2.
First-principles (PBE) data for a relaxed structure of PmTh2CrN4, as listed in Alexandria.

a = 3.491 Å, b = 6.209 Å, c = 12.146 Å
α = 90.00°, β = 90.00°, γ = 106.33°
Sites, in units of the cell vectors:
Pm1 0.105 0.211 0.750
Pm2 0.895 0.789 0.250
Th1 0.367 0.735 0.551
Th2 0.633 0.265 0.051
Th3 0.633 0.265 0.449
Th4 0.367 0.735 0.949
Cr1 0.837 0.675 0.750
Cr2 0.163 0.325 0.250
N1 0.274 0.547 0.130
N2 0.726 0.453 0.630
N3 0.726 0.453 0.870
N4 0.274 0.547 0.370
N5 0.000 0.000 0.500
N6 0.000 0.000 0.000
N7 0.435 0.870 0.750
N8 0.565 0.130 0.250

ρ   9.427 g cm⁻³
M_tot   6.28 Bohr magnetons per cell


3.
First-principles (PBE) data for a relaxed structure of PmTh2CrN5, as listed in Alexandria.

a = 6.769 Å, b = 6.769 Å, c = 7.390 Å
α = 117.26°, β = 117.26°, γ = 90.00°
Sites, in units of the cell vectors:
Pm1 0.250 0.250 0.500
Pm2 0.750 0.750 0.500
Th1 0.176 0.324 0.000
Th2 0.676 0.176 0.000
Th3 0.324 0.824 0.000
Th4 0.824 0.676 0.000
Cr1 0.250 0.750 0.500
Cr2 0.750 0.250 0.500
N1 0.002 0.502 0.293
N2 0.709 0.209 0.707
N3 0.998 0.498 0.707
N4 0.209 0.998 0.707
N5 0.498 0.709 0.707
N6 0.791 0.002 0.293
N7 0.502 0.291 0.293
N8 0.291 0.791 0.293
N9 0.500 0.500 0.000
N10 0.000 0.000 0.000

ρ   9.411 g cm⁻³
M_tot   2.00 Bohr magnetons per cell


4.
First-principles (PBE) data for a relaxed structure of Pm2ThCrN4, as listed in Alexandria.

a = 3.457 Å, b = 6.110 Å, c = 12.018 Å
α = 90.00°, β = 90.00°, γ = 106.43°
Sites, in units of the cell vectors:
Pm1 0.368 0.736 0.546
Pm2 0.632 0.264 0.046
Pm3 0.632 0.264 0.454
Pm4 0.368 0.736 0.954
Th1 0.102 0.203 0.750
Th2 0.898 0.797 0.250
Cr1 0.837 0.675 0.750
Cr2 0.163 0.325 0.250
N1 0.275 0.551 0.137
N2 0.725 0.449 0.637
N3 0.725 0.449 0.863
N4 0.275 0.551 0.363
N5 0.000 0.000 0.500
N6 0.000 0.000 0.000
N7 0.435 0.870 0.750
N8 0.565 0.130 0.250

ρ   8.595 g cm⁻³
M_tot   4.69 Bohr magnetons per cell


Calculated total energy per entry: -8.6651 -8.9522 -9.1500 -8.5990 eV/atom